VASP calculation (PBE-GGA) on a relaxed NbCrTc crystal.

## Properties
uncorrected energy = -10.04 eV/atom
total magnetization = 0.00 μB per cell
DOS at the Fermi energy = 9.08 states/eV/cell
energy relative to the lowest polymorph listed for this composition = 51 meV per atom
crystal system = orthorhombic

Cell: 4.4076 9.3229 4.3614 Å, 90.00 90.00 90.00°
Sites, in units of the cell vectors:
1 Nb 0.0000 0.0000 0.0000
2 Nb 0.0000 0.5000 0.5000
3 Nb 0.5000 0.0000 0.5000
4 Nb 0.5000 0.5000 0.0000
5 Cr 0.0000 0.1730 0.5000
6 Cr 0.0000 0.8270 0.5000
7 Cr 0.5000 0.3270 0.5000
8 Cr 0.5000 0.6730 0.5000
9 Tc 0.0000 0.3301 0.0000
10 Tc 0.0000 0.6699 0.0000
11 Tc 0.5000 0.1699 0.0000
12 Tc 0.5000 0.8301 0.0000